VASP calculation (GGA-PBE) on a relaxed structure of PuScCdGa.

Calculated values
Its energy above the lowest structure with this stoichiometry is 0.068 eV per atom. The energy of formation comes out at -0.2264 eV per atom. For the total DFT energy (no corrections), the calculation gives -102.0 eV per cell.

abc: 7.159 7.159 7.159
angles: 90.00 90.00 90.00
Space group F-43m (No. 216)
Inequivalent atoms, fractional coordinates:
Pu  0.000  0.000  0.000 (multiplicity 4)
Sc  0.000  0.000  0.500 (multiplicity 4)
Cd  0.250  0.250  0.750 (multiplicity 4)
Ga  0.250  0.250  0.250 (multiplicity 4)


VASP calculation (GGA-PBE) on a relaxed structure of ReClO2.

Calculated values
Its energy above the lowest structure with this stoichiometry is 1.246 eV per atom. The uncorrected formation energy is 2.590 eV/f.u. For the total DFT energy (no corrections), the calculation gives -86.5 eV per cell.

abc: 5.506 5.506 5.506
angles: 90.00 90.00 90.00
Space group Fm-3m (No. 225)
Inequivalent atoms, fractional coordinates:
Re  0.000  0.000  0.000 (multiplicity 4)
Cl  0.000  0.000  0.500 (multiplicity 4)
O  0.250  0.250  0.250 (multiplicity 8)


VASP calculation (GGA-PBE) on a relaxed structure of NdSmSeO2.

Calculated values
The uncorrected formation energy is -14.937 eV/f.u. For the total DFT energy (no corrections), the calculation gives -75.6 eV per cell.

abc: 3.949 3.949 12.555
angles: 90.00 90.00 90.00
Space group I4mm (No. 107)
Inequivalent atoms, fractional coordinates:
Nd  0.000  0.000  0.000 (multiplicity 2)
Sm  0.000  0.000  0.691 (multiplicity 2)
Se  0.000  0.000  0.346 (multiplicity 2)
O  0.000  0.500  0.098 (multiplicity 4)


VASP calculation (GGA-PBE) on a relaxed structure of La2RuBr.

Calculated values
Its energy above the lowest structure with this stoichiometry is 0.172 eV per atom. The uncorrected formation energy is -2.947 eV/f.u. For the total DFT energy (no corrections), the calculation gives -47.5 eV per cell.

abc: 3.650 3.818 16.310
angles: 90.00 90.00 90.00
Space group Imm2 (No. 44)
Inequivalent atoms, fractional coordinates:
La  0.000  0.000  0.000 (multiplicity 2)
La  0.000  0.500  0.292 (multiplicity 2)
Ru  0.000  0.500  0.883 (multiplicity 2)
Br  0.000  0.000  0.628 (multiplicity 2)


VASP calculation (GGA-PBE) on a relaxed structure of CeHoAlIn.

Calculated values
The energy of formation comes out at -0.3436 eV per atom. For the total DFT energy (no corrections), the calculation gives -73.5 eV per cell.

abc: 7.450 7.450 7.450
angles: 90.00 90.00 90.00
Space group F-43m (No. 216)
Inequivalent atoms, fractional coordinates:
Ce  0.000  0.000  0.000 (multiplicity 4)
Ho  0.000  0.000  0.500 (multiplicity 4)
Al  0.250  0.250  0.750 (multiplicity 4)
In  0.250  0.250  0.250 (multiplicity 4)


VASP calculation (GGA-PBE) on a relaxed structure of CaFeBr4.

Calculated values
Its energy above the lowest structure with this stoichiometry is 1.464 eV per atom. The uncorrected formation energy is 2.056 eV/f.u. For the total DFT energy (no corrections), the calculation gives -60.4 eV per cell.

abc: 9.045 9.045 9.045
angles: 90.00 90.00 90.00
Space group F-43m (No. 216)
Inequivalent atoms, fractional coordinates:
Ca  0.000  0.000  0.000 (multiplicity 4)
Fe  0.250  0.250  0.750 (multiplicity 4)
Br  0.125  0.125  0.375 (multiplicity 16)


VASP calculation (GGA-PBE) on a relaxed structure of Cs4Na2O.

Calculated values
Its energy above the lowest structure with this stoichiometry is 0.000 eV per atom. The uncorrected formation energy is -2.933 eV/f.u. For the total DFT energy (no corrections), the calculation gives -27.9 eV per cell.

abc: 11.512 11.512 7.154
angles: 90.00 90.00 90.00
Space group I-42m (No. 121)
Inequivalent atoms, fractional coordinates:
Cs  0.139  0.139  0.197 (multiplicity 8)
Na  0.000  0.500  0.250 (multiplicity 4)
O  0.000  0.000  0.000 (multiplicity 2)


VASP calculation (GGA-PBE) on a relaxed structure of LaTb2Tm6.

Calculated values
Its energy above the lowest structure with this stoichiometry is 0.032 eV per atom. The energy of formation comes out at 0.0622 eV per atom. For the total DFT energy (no corrections), the calculation gives -40.5 eV per cell.

abc: 3.5646 3.5646 26.0050
angles: 90.00 90.00 120.00
Space group P-6m2 (No. 187)
Inequivalent atoms, fractional coordinates:
La  0.0000  0.0000  0.0000 (multiplicity 1)
Tb  0.3333  0.6667  0.3292 (multiplicity 2)
Tm  0.0000  0.0000  0.2201 (multiplicity 2)
Tm  0.0000  0.0000  0.4361 (multiplicity 2)
Tm  0.3333  0.6667  0.1148 (multiplicity 2)


Theoretical density in g/cm3, matching the order above: 8.53; 10.10; 6.88; 6.70; 7.18; 3.73; 2.08; 8.53